No. 1
## SrGa2MoOs (PBE)

Data for a relaxed structure of SrGa2MoOs.

Computed properties:
Symmetry: P4/mmm (123)
Formation enthalpy at 0 K: 0.384 eV per atom
Magnetic moment: 0.28 Bohr magnetons per cell

a b c (Å): 4.9651 4.8082 4.9651
angles (deg): 90.00 90.00 90.00
Fractional positions:
1 Sr 0.5000 0.5000 0.5000
2 Mo 0.0000 0.0000 0.0000
3 Os 0.0000 0.5000 0.0000
4 Ga 0.0000 0.0000 0.5000
5 Ga 0.5000 0.0000 0.0000



No. 2
## Pa2CuNi4P3 (PBE)

Data for a relaxed structure of Pa2CuNi4P3.

Computed properties:
Symmetry: P-4m2 (115)
Formation enthalpy at 0 K: -0.815 eV per atom
Magnetic moment: 0.00 Bohr magnetons per cell

a b c (Å): 3.8871 3.8871 9.5597
angles (deg): 90.00 90.00 90.00
Fractional positions:
1 Pa 0.5000 0.0000 0.2483
2 Pa 0.0000 0.5000 0.7517
3 Cu 0.5000 0.5000 0.5000
4 Ni 0.5000 0.5000 0.0000
5 Ni 0.0000 0.0000 0.0000
6 Ni 0.5000 0.0000 0.6404
7 Ni 0.0000 0.5000 0.3596
8 P 0.0000 0.0000 0.5000
9 P 0.5000 0.0000 0.8702
10 P 0.0000 0.5000 0.1298



No. 3
## K2NpSnTe4 (PBE)

Data for a relaxed structure of K2NpSnTe4.

Computed properties:
Symmetry: P2/m (10)
Magnetic moment: 2.98 Bohr magnetons per cell
Raw formation energy: -0.7604 eV/atom

a b c (Å): 4.5832 8.4847 8.0535
angles (deg): 72.38 90.00 90.00
Fractional positions:
1 K 0.0000 0.0000 0.0000
2 K 0.5000 0.0000 0.5000
3 Np 0.0000 0.5000 0.5000
4 Sn 0.5000 0.5000 0.0000
5 Te 0.0000 0.7063 0.7507
6 Te 0.0000 0.2937 0.2493
7 Te 0.5000 0.7048 0.2736
8 Te 0.5000 0.2952 0.7264



No. 4
## SrAl2Ga (PBE)

Data for a relaxed structure of SrAl2Ga.

Computed properties:
Symmetry: Amm2 (38)
Formation enthalpy at 0 K: -0.235 eV per atom
Magnetic moment: 0.00 Bohr magnetons per cell

a b c (Å): 4.3721 6.3854 7.1938
angles (deg): 90.00 90.00 110.02
Fractional positions:
1 Sr 0.7326 0.4652 0.5000
2 Sr 0.6024 0.2048 0.0000
3 Al 0.0185 0.0370 0.6880
4 Al 0.0185 0.0370 0.3120
5 Al 0.8851 0.7703 0.0000
6 Al 0.4505 0.9011 0.5000
7 Ga 0.3106 0.6211 0.8098
8 Ga 0.3106 0.6211 0.1902



No. 5
## Mn2AuBr (PBE)

Data for a relaxed structure of Mn2AuBr.

Computed properties:
Energy relative to the lowest polymorph listed for this composition: 641 meV/atom
Symmetry: F-43m (216)
Magnetic moment: 7.99 Bohr magnetons per cell
Raw formation energy: 0.7055 eV/atom

a b c (Å): 4.7308 4.7308 4.7308
angles (deg): 60.00 60.00 60.00
Fractional positions:
1 Au 0.5000 0.5000 0.5000
2 Br 0.7500 0.7500 0.7500
3 Mn 0.0000 0.0000 0.0000
4 Mn 0.2500 0.2500 0.2500



No. 6
## CaOs2Au (PBE)

Data for a relaxed structure of CaOs2Au.

Computed properties:
Energy relative to the lowest polymorph listed for this composition: 727 meV/atom
Symmetry: P4/mmm (123)
Formation enthalpy at 0 K: 0.917 eV per atom
Magnetic moment: 1.38 Bohr magnetons per cell

a b c (Å): 3.3750 3.3750 6.6383
angles (deg): 90.00 90.00 90.00
Fractional positions:
1 Os 0.0000 0.0000 0.0541
2 Os 0.0000 0.0000 0.4459
3 Ca 0.5000 0.5000 0.7500
4 Au 0.5000 0.5000 0.2500



No. 7
## TlZnRu (PBE)

Data for a relaxed structure of TlZnRu.

Computed properties:
Energy relative to the lowest polymorph listed for this composition: 167 meV/atom
Symmetry: F-43m (216)
Formation enthalpy at 0 K: 0.495 eV per atom
Magnetic moment: 0.00 Bohr magnetons per cell

a b c (Å): 4.4128 4.4128 4.4128
angles (deg): 60.00 60.00 60.00
Fractional positions:
1 Ru 0.7500 0.7500 0.7500
2 Tl 0.0000 0.0000 0.0000
3 Zn 0.5000 0.5000 0.5000



No. 8
## Tb2PmDy2Mg (PBE)

Data for a relaxed structure of Tb2PmDy2Mg.

Computed properties:
Symmetry: Immm (71)
Formation enthalpy at 0 K: 0.097 eV per atom
Magnetic moment: 0.00 Bohr magnetons per cell

a b c (Å): 3.6704 5.5170 18.6421
angles (deg): 90.00 90.00 90.00
Fractional positions:
1 Tb 0.5000 0.0008 0.1839
2 Tb 0.0000 0.5008 0.3161
3 Tb 0.5000 0.9992 0.8161
4 Tb 0.0000 0.4992 0.6839
5 Pm 0.0000 0.0000 0.0000
6 Pm 0.5000 0.5000 0.5000
7 Dy 0.5000 0.0007 0.3652
8 Dy 0.5000 0.9993 0.6348
9 Dy 0.0000 0.4993 0.8652
10 Dy 0.0000 0.5007 0.1348
11 Mg 0.5000 0.5000 0.0000
12 Mg 0.0000 0.0000 0.5000



No. 9
## Ca3ZrRu (PBE)

Data for a relaxed structure of Ca3ZrRu.

Computed properties:
Energy relative to the lowest polymorph listed for this composition: 964 meV/atom
Symmetry: Pm-3m (221)
Formation enthalpy at 0 K: 1.629 eV per atom
Magnetic moment: 4.22 Bohr magnetons per cell

a b c (Å): 5.5186 5.5186 5.5186
angles (deg): 90.00 90.00 90.00
Fractional positions:
1 Ru 0.5000 0.5000 0.5000
2 Ca 0.0000 0.5000 0.0000
3 Ca 0.0000 0.0000 0.5000
4 Ca 0.5000 0.0000 0.0000
5 Zr 0.0000 0.0000 0.0000



No. 10
## Ac2In8Au (PBE)

Data for a relaxed structure of Ac2In8Au.

Computed properties:
Symmetry: P4/mmm (123)
Formation enthalpy at 0 K: -0.346 eV per atom
Magnetic moment: 0.00 Bohr magnetons per cell

a b c (Å): 4.9279 4.9279 12.8094
angles (deg): 90.00 90.00 90.00
Fractional positions:
1 Ac 0.0000 0.0000 0.3058
2 Ac 0.0000 0.0000 0.6942
3 In 0.0000 0.5000 0.5000
4 In 0.5000 0.0000 0.5000
5 In 0.5000 0.5000 0.3081
6 In 0.5000 0.5000 0.6919
7 In 0.0000 0.5000 0.1228
8 In 0.5000 0.0000 0.1228
9 In 0.0000 0.5000 0.8772
10 In 0.5000 0.0000 0.8772
11 Au 0.0000 0.0000 0.0000



No. 11
## Ta3TiMn4 (PBE)

Data for a relaxed structure of Ta3TiMn4.

Computed properties:
Symmetry: P4/mmm (123)
Formation enthalpy at 0 K: -0.257 eV per atom
Magnetic moment: 0.00 Bohr magnetons per cell

a b c (Å): 3.0450 3.0450 12.1483
angles (deg): 90.00 90.00 90.00
Fractional positions:
1 Ti 0.5000 0.5000 0.0000
2 Mn 0.0000 0.0000 0.8767
3 Mn 0.0000 0.0000 0.1233
4 Mn 0.0000 0.0000 0.3744
5 Mn 0.0000 0.0000 0.6256
6 Ta 0.5000 0.5000 0.2460
7 Ta 0.5000 0.5000 0.5000
8 Ta 0.5000 0.5000 0.7540



No. 12
## MgSb4O8 (PBE)

Data for a relaxed structure of MgSb4O8.

Computed properties:
Energy relative to the lowest polymorph listed for this composition: 365 meV/atom
Symmetry: R-3m (166)
Magnetic moment: 0.00 Bohr magnetons per cell
Raw formation energy: -1.1125 eV/atom

a b c (Å): 6.3769 6.3769 6.3769
angles (deg): 65.11 65.11 65.11
Fractional positions:
1 Mg 0.5000 0.5000 0.5000
2 Sb 0.5000 0.0000 0.5000
3 Sb 0.0000 0.5000 0.5000
4 Sb 0.5000 0.5000 0.0000
5 Sb 0.0000 0.0000 0.0000
6 O 0.7410 0.2872 0.7410
7 O 0.2590 0.2590 0.7128
8 O 0.2590 0.7128 0.2590
9 O 0.7128 0.2590 0.2590
10 O 0.2678 0.2678 0.2678
11 O 0.7322 0.7322 0.7322
12 O 0.2872 0.7410 0.7410
13 O 0.7410 0.7410 0.2872



No. 13
## RbMnTl2Br6 (PBE)

Data for a relaxed structure of RbMnTl2Br6.

Computed properties:
Symmetry: P1 (1)
Magnetic moment: 4.00 Bohr magnetons per cell
Raw formation energy: -0.9373 eV/atom

a b c (Å): 8.4685 8.0314 7.5774
angles (deg): 60.75 64.85 59.38
Fractional positions:
1 Rb 0.8148 0.8193 0.5538
2 Mn 0.3203 0.3200 0.0417
3 Tl 0.5113 0.6133 0.3455
4 Tl 0.1118 0.0115 0.8373
5 Br 0.4295 0.2107 0.3450
6 Br 0.1519 0.0112 0.2519
7 Br 0.0179 0.5735 0.1717
8 Br 0.4818 0.6189 0.8067
9 Br 0.6191 0.0596 0.9192
10 Br 0.2032 0.4236 0.7423



No. 14
## ZrAlTeI2 (PBE)

Data for a relaxed structure of ZrAlTeI2.

Computed properties:
Energy relative to the lowest polymorph listed for this composition: 391 meV/atom
Symmetry: P4/mmm (123)
Magnetic moment: 1.42 Bohr magnetons per cell
Raw formation energy: 0.2348 eV/atom

a b c (Å): 5.5530 5.9276 5.5530
angles (deg): 90.00 90.00 90.00
Fractional positions:
1 I 0.0000 0.0000 0.5000
2 I 0.5000 0.0000 0.0000
3 Te 0.5000 0.5000 0.5000
4 Al 0.0000 0.5000 0.0000
5 Zr 0.0000 0.0000 0.0000



No. 15
## NbCo2Ru2 (PBE)

Data for a relaxed structure of NbCo2Ru2.

Computed properties:
Energy relative to the lowest polymorph listed for this composition: 72 meV/atom
Symmetry: P4/mbm (127)
Formation enthalpy at 0 K: 0.125 eV per atom
Magnetic moment: 4.38 Bohr magnetons per cell

a b c (Å): 7.1219 7.1219 2.7065
angles (deg): 90.00 90.00 90.00
Fractional positions:
1 Ru 0.3728 0.8728 0.0000
2 Ru 0.8728 0.6272 0.0000
3 Ru 0.6272 0.1272 0.0000
4 Ru 0.1272 0.3728 0.0000
5 Nb 0.0000 0.0000 0.0000
6 Nb 0.5000 0.5000 0.0000
7 Co 0.1696 0.6696 0.5000
8 Co 0.6696 0.8304 0.5000
9 Co 0.8304 0.3304 0.5000
10 Co 0.3304 0.1696 0.5000



No. 16
## GdMg2Ti (PBE)

Data for a relaxed structure of GdMg2Ti.

Computed properties:
Symmetry: P4/mmm (123)
Formation enthalpy at 0 K: 0.133 eV per atom
Magnetic moment: 6.58 Bohr magnetons per cell

a b c (Å): 3.1952 3.1952 9.0877
angles (deg): 90.00 90.00 90.00
Fractional positions:
1 Mg 0.0000 0.0000 0.7784
2 Mg 0.0000 0.0000 0.2216
3 Gd 0.5000 0.5000 0.5000
4 Ti 0.5000 0.5000 0.0000



No. 17
## ZrTiBi (PBE)

Data for a relaxed structure of ZrTiBi.

Computed properties:
Energy relative to the lowest polymorph listed for this composition: 0 meV/atom
Symmetry: P4/nmm (129)
Formation enthalpy at 0 K: -0.267 eV per atom
Magnetic moment: 0.00 Bohr magnetons per cell

a b c (Å): 4.0112 4.0114 8.1943
angles (deg): 90.00 90.00 90.00
Fractional positions:
1 Zr 0.5000 0.0000 0.1270
2 Zr 0.0000 0.5000 0.8730
3 Ti 0.5000 0.5000 0.5000
4 Ti 0.0000 0.0000 0.5000
5 Bi 0.5000 0.0000 0.7549
6 Bi 0.0000 0.5000 0.2451



No. 18
## CrFeRh2 (PBE)

Data for a relaxed structure of CrFeRh2.

Computed properties:
Symmetry: Cm (8)
Formation enthalpy at 0 K: -0.013 eV per atom
Magnetic moment: 1.02 Bohr magnetons per cell

a b c (Å): 4.6288 4.6288 4.5138
angles (deg): 78.36 78.36 34.25
Fractional positions:
1 Cr 0.4955 0.4955 0.4947
2 Fe 0.7543 0.7543 0.7565
3 Rh 0.0046 0.0046 0.9792
4 Rh 0.2456 0.2456 0.2696



No. 19
## Li2CaTb2Sn2 (PBE)

Data for a relaxed structure of Li2CaTb2Sn2.

Computed properties:
Symmetry: R-3m (166)
Formation enthalpy at 0 K: -0.465 eV per atom
Magnetic moment: 0.00 Bohr magnetons per cell

a b c (Å): 4.8288 4.8288 9.5511
angles (deg): 75.36 75.36 60.00
Fractional positions:
1 Li 0.5935 0.5935 0.2194
2 Li 0.4065 0.4065 0.7806
3 Ca 0.0000 0.0000 0.0000
4 Tb 0.1295 0.1295 0.6115
5 Tb 0.8705 0.8705 0.3885
6 Sn 0.7430 0.7430 0.7711
7 Sn 0.2570 0.2570 0.2289



No. 20
## Cs2LiInBi2 (PBE)

Data for a relaxed structure of Cs2LiInBi2.

Computed properties:
Symmetry: Ibam (72)
Formation enthalpy at 0 K: -0.422 eV per atom
Magnetic moment: 0.00 Bohr magnetons per cell

a b c (Å): 7.2955 7.3760 10.4118
angles (deg): 110.75 110.51 90.00
Fractional positions:
1 Cs 0.4114 0.1683 0.3367
2 Cs 0.5886 0.8317 0.6633
3 Cs 0.0747 0.3317 0.6633
4 Cs 0.9253 0.6683 0.3367
5 Li 0.0000 0.7500 0.0000
6 Li 0.0000 0.2500 0.0000
7 In 0.5000 0.7500 0.0000
8 In 0.5000 0.2500 0.0000
9 Bi 0.8336 0.0916 0.1832
10 Bi 0.3496 0.5916 0.1832
11 Bi 0.6504 0.4084 0.8168
12 Bi 0.1664 0.9084 0.8168